# 1
Computed, not measured: a relaxed DyHo12Tl3 crystal at the PBE-GGA level of DFT.

CIF file:
```
data_DyHo12Tl3
_chemical_formula_sum 'Dy1 Ho12 Tl3'
_symmetry_space_group_name_H-M 'P 4/m m m'
_symmetry_Int_Tables_number 123
_symmetry_space_group_name_Hall '-P 4 2'
_cell_length_a 4.841
_cell_length_b 4.841
_cell_length_c 19.759
_cell_angle_alpha 90.00
_cell_angle_beta 90.00
_cell_angle_gamma 90.00
loop_
_atom_site_label
_atom_site_fract_x
_atom_site_fract_y
_atom_site_fract_z
Dy1 0.000 0.000 0.000
Ho1 0.000 0.500 0.130
Ho2 0.000 0.500 0.377
Ho3 0.500 0.500 0.000
Ho4 0.500 0.500 0.254
Ho5 0.500 0.500 0.500
Tl1 0.000 0.000 0.256
Tl2 0.000 0.000 0.500
```

Summary:
Formation energy from the elements   -0.1224 eV/atom
Calculated total energy   -4.287 eV per atom
Density of states at the Fermi level   1.26 states/eV per atom

# 2
Computed, not measured: a relaxed RbMg2H crystal at the PBE-GGA level of DFT.

CIF file:
```
data_RbMg2H
_chemical_formula_sum 'Rb4 Mg8 H4'
_symmetry_space_group_name_H-M 'F m -3 m'
_symmetry_Int_Tables_number 225
_symmetry_space_group_name_Hall '-F 4 2 3'
_cell_length_a 8.061
_cell_length_b 8.061
_cell_length_c 8.061
_cell_angle_alpha 90.00
_cell_angle_beta 90.00
_cell_angle_gamma 90.00
loop_
_atom_site_label
_atom_site_fract_x
_atom_site_fract_y
_atom_site_fract_z
Rb1 0.000 0.000 0.000
Mg1 0.250 0.250 0.250
H1 0.000 0.000 0.500
```

Summary:
ΔE to the lowest computed polymorph   538 meV/atom
Calculated total energy   -1.124 eV per atom
Density of states at the Fermi level   0.22 states/eV per atom

# 3
Computed, not measured: a relaxed AgSeBr2 crystal at the PBE-GGA level of DFT.

CIF file:
```
data_AgSeBr2
_chemical_formula_sum 'Ag3 Se3 Br6'
_symmetry_space_group_name_H-M 'R -3 m'
_symmetry_Int_Tables_number 166
_symmetry_space_group_name_Hall '-R 3 2"'
_cell_length_a 4.0702
_cell_length_b 4.0702
_cell_length_c 22.8323
_cell_angle_alpha 90.00
_cell_angle_beta 90.00
_cell_angle_gamma 120.00
loop_
_atom_site_label
_atom_site_fract_x
_atom_site_fract_y
_atom_site_fract_z
Ag1 0.0000 0.0000 0.0000
Se1 0.0000 0.0000 0.5000
Br1 0.0000 0.0000 0.2637
```

Summary:
ΔE to the lowest computed polymorph   423 meV/atom
Calculated total energy   -2.153 eV per atom
Density of states at the Fermi level   0.98 states/eV per atom